Record 1
This record from OQMD via LeMat-Bulk describes an optimized crystal structure of U4Ga12Pd. The functional is GGA-PBE.

Values from the calculation:
VASP energy (eV per cell): -91.69
Volume (Å³ per atom): 19.0

abc: 7.480 7.480 7.480
angles: 109.47 109.47 109.47
Each line ends with the local moment (μB).
Fractional coordinates of all 17 atoms:
1 Ga 0.750 0.250 0.500  0.00
2 Ga 0.000 0.707 0.707  0.02
3 Ga 0.707 0.707 0.000  0.02
4 Ga 0.293 0.293 0.000  0.02
5 Ga 0.750 0.500 0.250  0.01
6 Ga 0.293 0.000 0.293  0.02
7 Ga 0.250 0.500 0.750  0.01
8 Ga 0.500 0.250 0.750  0.00
9 Ga 0.000 0.293 0.293  0.02
10 Ga 0.500 0.750 0.250  0.00
11 Ga 0.250 0.750 0.500  0.00
12 Ga 0.707 0.000 0.707  0.02
13 U 0.500 0.000 0.000  2.23
14 U 0.500 0.500 0.500  2.27
15 U 0.000 0.500 0.000  2.09
16 U 0.000 0.000 0.500  1.95
17 Pd 0.000 0.000 0.000  0.08

***

Record 2
This record from OQMD via LeMat-Bulk describes an optimized crystal structure of La2NdGdZn12Ge6. The functional is GGA-PBE.

Values from the calculation:
VASP energy (eV per cell): -71.70
Volume (Å³ per atom): 19.1

abc: 7.686 4.113 13.315
angles: 90.00 90.00 90.00
Fractional coordinates of all 22 atoms:
1 Ge 0.382 0.500 0.001
2 Ge 0.311 0.500 0.309
3 Ge 0.304 0.500 0.690
4 Ge 0.813 0.500 0.807
5 Ge 0.883 0.500 0.503
6 Ge 0.808 0.500 0.190
7 Nd 0.500 0.000 0.167
8 Zn 0.211 0.500 0.500
9 Zn 0.409 0.000 0.405
10 Zn 0.144 0.500 0.144
11 Zn 0.144 0.500 0.855
12 Zn 0.689 0.000 0.503
13 Zn 0.712 0.500 0.999
14 Zn 0.909 0.000 0.904
15 Zn 0.189 0.000 0.002
16 Zn 0.644 0.500 0.644
17 Zn 0.645 0.500 0.356
18 Zn 0.401 0.000 0.594
19 Zn 0.903 0.000 0.093
20 Gd 0.000 0.000 0.667
21 La 0.500 0.000 0.833
22 La 0.000 0.000 0.334

***

Record 3
This record from OQMD via LeMat-Bulk describes an optimized crystal structure of DyLuGa2I2. The functional is GGA-PBE.

Values from the calculation:
VASP energy (eV per cell): -24.18
Volume (Å³ per atom): 30.4

abc: 4.176 4.176 12.061
angles: 90.00 90.00 120.00
Fractional coordinates of all 6 atoms:
1 Dy 0.000 0.000 0.335
2 Lu 0.000 0.000 0.665
3 I 0.333 0.667 0.169
4 I 0.667 0.333 0.827
5 Ga 0.333 0.667 0.531
6 Ga 0.667 0.333 0.473

***

Record 4
This record from OQMD via LeMat-Bulk describes an optimized crystal structure of ZrIrO4. The functional is GGA-PBE.

Values from the calculation:
VASP energy (eV per cell): -48.84
Volume (Å³ per atom): 11.9

abc: 4.695 3.233 4.711
angles: 90.00 90.21 90.00
Each line ends with the local moment (μB).
Fractional coordinates of all 6 atoms:
1 O 0.819 0.000 0.180  0.01
2 O 0.181 0.000 0.820  0.01
3 O 0.701 0.500 0.700  0.01
4 O 0.299 0.500 0.300  0.01
5 Zr 0.500 0.000 0.500  0.00
6 Ir 0.000 0.500 0.000  0.09

***

Record 5
This record from OQMD via LeMat-Bulk describes an optimized crystal structure of Gd2YMg3Pd2Pt. The functional is GGA-PBE.

Values from the calculation:
VASP energy (eV per cell): -43.79
Volume (Å³ per atom): 21.8

abc: 4.110 7.430 7.430
angles: 120.24 90.00 90.00
Fractional coordinates of all 9 atoms:
1 Pd 0.500 0.667 0.333
2 Pd 0.500 0.333 0.667
3 Mg 0.500 0.244 0.244
4 Mg 0.500 0.756 0.999
5 Mg 0.500 0.999 0.756
6 Gd 0.000 0.000 0.408
7 Gd 0.000 0.408 0.000
8 Y 0.000 0.592 0.592
9 Pt 0.000 0.000 0.000

***

Record 6
This record from OQMD via LeMat-Bulk describes an optimized crystal structure of Lu4FePC2. The functional is GGA-PBE.

Values from the calculation:
VASP energy (eV per cell): -53.15
Volume (Å³ per atom): 18.1

abc: 3.514 3.514 13.539
angles: 90.00 90.00 120.00
Each line ends with the local moment (μB).
Fractional coordinates of all 8 atoms:
1 Lu 0.333 0.667 0.663  -0.12
2 Lu 0.000 0.000 0.142  -0.02
3 Lu 0.333 0.667 0.337  -0.12
4 Lu 0.000 0.000 0.858  -0.02
5 P 0.333 0.667 0.000  0.00
6 C 0.667 0.333 0.243  0.01
7 C 0.667 0.333 0.757  0.01
8 Fe 0.000 0.000 0.500  2.72

***

Among the records above, which one has the highest VASP energy? DyLuGa2I2